No. 1
Compound: RbP3PbO9
Source: Alexandria
Functional: GGA-PBE
Structure: relaxed

Calculated values
Total energy: -6.79 eV/atom
E_form (uncorrected): -48.6 kcal/mol of atoms
Total magnetization: 0.00 μB per formula unit

a b c (Å): 17.4571 7.3213 14.4729
angles (deg): 74.33 90.00 90.00
Element x y z (fractional)
Rb 0.3418 0.1241 0.0471
Rb 0.1698 0.6528 0.9983
Rb 0.6698 0.3472 0.5017
Rb 0.6582 0.8759 0.9529
Rb 0.3302 0.6528 0.4983
Rb 0.8302 0.3472 0.0017
Rb 0.1582 0.1241 0.5471
Rb 0.8418 0.8759 0.4529
P 0.9917 0.2203 0.3634
P 0.1235 0.0462 0.1383
P 0.1355 0.5254 0.6383
P 0.0083 0.7797 0.6366
P 0.2521 0.4683 0.2987
P 0.4917 0.7797 0.1366
P 0.0096 0.3383 0.1481
P 0.7224 0.9346 0.1945
P 0.2479 0.4683 0.7987
P 0.6235 0.9538 0.3617
P 0.5096 0.6617 0.3519
P 0.3765 0.0462 0.6383
P 0.3645 0.5254 0.1383
P 0.2224 0.0654 0.3055
P 0.6355 0.4746 0.8617
P 0.7776 0.9346 0.6945
P 0.8765 0.9538 0.8617
P 0.5083 0.2203 0.8634
P 0.8645 0.4746 0.3617
P 0.2776 0.0654 0.8055
P 0.7521 0.5317 0.2013
P 0.4904 0.3383 0.6481
P 0.9904 0.6617 0.8519
P 0.7479 0.5317 0.7013
Pb 0.9222 0.8250 0.1345
Pb 0.5778 0.8250 0.6345
Pb 0.0739 0.7085 0.3778
Pb 0.9261 0.2915 0.6222
Pb 0.4261 0.7085 0.8778
Pb 0.4222 0.1750 0.3655
Pb 0.0778 0.1750 0.8655
Pb 0.5739 0.2915 0.1222
O 0.7975 0.9427 0.8027
O 0.5522 0.2054 0.6360
O 0.5067 0.4531 0.4008
O 0.3516 0.0199 0.5434
O 0.7188 0.4701 0.8127
O 0.4307 0.9056 0.7009
O 0.5272 0.6764 0.2395
O 0.5078 0.0090 0.8829
O 0.2989 0.2833 0.8006
O 0.1976 0.6159 0.3116
O 0.9933 0.4531 0.9008
O 0.5693 0.0944 0.2991
O 0.7989 0.7167 0.6994
O 0.1002 0.7215 0.6504
O 0.9073 0.7372 0.8812
O 0.6932 0.9700 0.6827
O 0.8473 0.4584 0.4654
O 0.2188 0.5299 0.6873
O 0.1527 0.5416 0.5346
O 0.6804 0.5861 0.6346
O 0.2025 0.0573 0.1973
O 0.4922 0.9910 0.1171
O 0.9478 0.2054 0.1360
O 0.1484 0.0199 0.0434
O 0.8313 0.0504 0.6201
O 0.1687 0.9496 0.3799
O 0.3068 0.0300 0.3173
O 0.0067 0.5469 0.0992
O 0.8196 0.5861 0.1346
O 0.4115 0.3570 0.1929
O 0.6484 0.9801 0.4566
O 0.9728 0.6764 0.7395
O 0.4741 0.3182 0.9328
O 0.9922 0.0090 0.3829
O 0.3998 0.7215 0.1504
O 0.6687 0.0504 0.1201
O 0.4728 0.3236 0.7605
O 0.2011 0.2833 0.3006
O 0.5259 0.6818 0.0672
O 0.7812 0.4701 0.3127
O 0.7025 0.9427 0.3027
O 0.9307 0.0944 0.7991
O 0.7011 0.7167 0.1994
O 0.3196 0.4139 0.3654
O 0.8516 0.9801 0.9566
O 0.4478 0.7946 0.3640
O 0.4933 0.5469 0.5992
O 0.5927 0.7372 0.3812
O 0.6976 0.3841 0.1884
O 0.1932 0.0300 0.8173
O 0.6527 0.4584 0.9654
O 0.0693 0.9056 0.2009
O 0.0927 0.2628 0.1188
O 0.0522 0.7946 0.8640
O 0.0078 0.9910 0.6171
O 0.3024 0.6159 0.8116
O 0.0259 0.3182 0.4328
O 0.8998 0.2785 0.3496
O 0.0885 0.3570 0.6929
O 0.3313 0.9496 0.8799
O 0.5885 0.6430 0.8071
O 0.3473 0.5416 0.0346
O 0.2812 0.5299 0.1873
O 0.1804 0.4139 0.8654
O 0.8024 0.3841 0.6884
O 0.4073 0.2628 0.6188
O 0.6002 0.2785 0.8496
O 0.9741 0.6818 0.5672
O 0.9115 0.6430 0.3071
O 0.0272 0.3236 0.2605
O 0.2975 0.0573 0.6973
O 0.8068 0.9700 0.1827

No. 2
Compound: BaLiIn
Source: Alexandria
Functional: GGA-PBE
Structure: relaxed

Calculated values
Total energy: -2.45 eV/atom
Energy of formation: -24.5 kJ per mole of atoms
Offset from the most stable computed form: 6 kJ/mol of formula units
Total magnetization: 0.00 μB per formula unit

a b c (Å): 5.3914 5.3914 3.9353
angles (deg): 90.00 90.00 120.00
Element x y z (fractional)
Li 0.3333 0.6667 0.5000
Ba 0.0000 0.0000 0.0003
In 0.6667 0.3333 0.4997

No. 3
Compound: Sr3CuRh2
Source: Alexandria
Functional: GGA-PBE
Structure: relaxed

Calculated values
Total energy: -4.15 eV/atom
Energy of formation: -17.2 kJ per mole of atoms
Total magnetization: 0.00 μB per formula unit

a b c (Å): 7.1333 7.1333 7.1333
angles (deg): 74.81 74.81 74.81
Element x y z (fractional)
Sr 0.9242 0.5758 0.2500
Sr 0.2500 0.9242 0.5758
Sr 0.5758 0.2500 0.9242
Sr 0.0758 0.4242 0.7500
Sr 0.7500 0.0758 0.4242
Sr 0.4242 0.7500 0.0758
Cu 0.5000 0.5000 0.5000
Cu 0.0000 0.0000 0.0000
Rh 0.6636 0.6636 0.6636
Rh 0.8364 0.8364 0.8364
Rh 0.1636 0.1636 0.1636
Rh 0.3364 0.3364 0.3364

No. 4
Compound: LaTlSb
Source: Alexandria
Functional: GGA-PBE
Structure: relaxed

Calculated values
Total energy: -3.99 eV/atom
E_form (uncorrected): -4.3 kcal/mol of atoms
Offset from the most stable computed form: 159 kJ/mol of formula units
Total magnetization: 0.00 μB per formula unit

a b c (Å): 3.6349 3.6349 8.0428
angles (deg): 90.00 90.00 120.00
Element x y z (fractional)
La 0.0000 0.0000 0.0098
Sb 0.6667 0.3333 0.3382
Tl 0.3333 0.6667 0.6520